(1)
Computed, not measured: a relaxed structure of Li4Mn3Ni2Sb3O16 at the GGA-PBEsol level of DFT.

Cell: 6.0288 6.0288 9.3801 Å, 90.85 90.85 58.82°
With the nearest neighbours (Å) after each atom.
Element x y z (fractional)
Li: 0.0000 0.0000 0.0000  3 O 1.84-1.97
Li: 0.2250 0.2250 0.1025  4 O 1.89-2.07
Li: 0.5499 0.5499 0.5693  4 O 1.98-2.05
Li: 0.8902 0.8902 0.4580  4 O 1.75-1.93
Mn: 0.0458 0.0458 0.7324  5 O 1.97-2.06
Mn: 0.2165 0.7120 0.2494  6 O 1.92-1.96
Mn: 0.7120 0.2165 0.2494  6 O 1.92-1.96
Ni: 0.2157 0.2157 0.4655  6 O 2.08-2.19
Ni: 0.5323 0.5323 0.9784  6 O 2.03-2.17
Sb: 0.0455 0.5428 0.7601  6 O 1.99-2.04
Sb: 0.5428 0.0455 0.7601  6 O 1.99-2.04
Sb: 0.7111 0.7111 0.2415  6 O 2.05-2.06
O: 0.0395 0.0395 0.3561  1 Li 1.85, 2 Mn 1.96
O: 0.0531 0.5632 0.3558  1 Li 1.93, 1 Mn 1.93, 1 Sb 2.06, 1 Ni 2.08
O: 0.2007 0.7253 0.8589  1 Li 1.97, 1 Sb 1.99, 1 Ni 2.04, 1 Mn 2.05
O: 0.2209 0.2209 0.8814  2 Sb 2.02, 1 Li 2.07
O: 0.3642 0.3642 0.6329  2 Sb 2.04, 1 Li 2.05, 1 Ni 2.19
O: 0.3695 0.9201 0.6261  1 Mn 1.97, 1 Li 1.98, 1 Sb 2.00, 1 Ni 2.15
O: 0.3734 0.8471 0.1261  1 Mn 1.94, 1 Li 1.98, 1 Sb 2.05, 1 Ni 2.13
O: 0.4025 0.4025 0.1362  1 Li 1.89, 2 Mn 1.92, 1 Ni 2.03
O: 0.5457 0.5457 0.3556  2 Mn 1.96, 1 Li 2.00, 1 Sb 2.06
O: 0.5632 0.0531 0.3558  1 Li 1.93, 1 Mn 1.93, 1 Sb 2.06, 1 Ni 2.08
O: 0.7129 0.7129 0.8701  2 Sb 2.01, 1 Ni 2.17
O: 0.7253 0.2007 0.8589  1 Li 1.97, 1 Sb 1.99, 1 Ni 2.04, 1 Mn 2.05
O: 0.8471 0.3734 0.1261  1 Mn 1.94, 1 Li 1.98, 1 Sb 2.05, 1 Ni 2.13
O: 0.8653 0.8653 0.6421  1 Li 1.75
O: 0.8856 0.8856 0.1457  1 Li 1.84, 2 Mn 1.96, 1 Sb 2.05
O: 0.9201 0.3695 0.6261  1 Mn 1.97, 1 Li 1.98, 1 Sb 2.00, 1 Ni 2.15

Summary:
- total moment (μB/f.u.) = 5.4
- space-group type = Cm
- VASP energy (eV per atom) = -6.745
- raw formation energy (kJ per mole of atoms) = -144

(2)
Computed, not measured: a relaxed structure of SrZrSi2 at the GGA-PBEsol level of DFT.

Cell: 3.3069 3.3069 7.9475 Å, 90.00 90.00 90.00°
With the nearest neighbours (Å) after each atom.
Element x y z (fractional)
Sr: 0.0000 0.0000 0.0000  5 Si 3.22-3.29, 4 Sr 3.31
Zr: 0.5000 0.5000 0.6173  5 Si 2.69-2.84
Si: 0.0000 0.0000 0.4136  4 Si 2.57, 4 Zr 2.84
Si: 0.5000 0.5000 0.2788  4 Si 2.57, 1 Zr 2.69

Summary:
- total moment (μB/f.u.) = 0.0
- space-group type = P4mm
- VASP energy (eV per atom) = -5.725
- raw formation energy (kJ per mole of atoms) = -11

Copy entry 2 word for word.
Computed, not measured: a relaxed structure of SrZrSi2 at the GGA-PBEsol level of DFT.

Cell: 3.3069 3.3069 7.9475 Å, 90.00 90.00 90.00°
With the nearest neighbours (Å) after each atom.
Element x y z (fractional)
Sr: 0.0000 0.0000 0.0000  5 Si 3.22-3.29, 4 Sr 3.31
Zr: 0.5000 0.5000 0.6173  5 Si 2.69-2.84
Si: 0.0000 0.0000 0.4136  4 Si 2.57, 4 Zr 2.84
Si: 0.5000 0.5000 0.2788  4 Si 2.57, 1 Zr 2.69

Summary:
- total moment (μB/f.u.) = 0.0
- space-group type = P4mm
- VASP energy (eV per atom) = -5.725
- raw formation energy (kJ per mole of atoms) = -11